# TaZnCdCu | OQMD via LeMat-Bulk | PBE-GGA | optimized geometry
data_TaZnCdCu
_cell_length_a 4.5180
_cell_length_b 4.5180
_cell_length_c 4.5180
_cell_angle_alpha 60.00
_cell_angle_beta 60.00
_cell_angle_gamma 60.00
_symmetry_space_group_name_H-M 'P 1'
_symmetry_Int_Tables_number 1
loop_
_symmetry_equiv_pos_as_xyz
'x,y,z'
loop_
_atom_site_label
_atom_site_type_symbol
_atom_site_fract_x
_atom_site_fract_y
_atom_site_fract_z
Ta1 Ta 0.0000 0.0000 0.0000
Zn1 Zn 0.2500 0.2500 0.2500
Cd1 Cd 0.7500 0.7500 0.7500
Cu1 Cu 0.5000 0.5000 0.5000
# ΔH_f (0 K) ... 0.429 eV per atom
# Polymorph energy (0 for the lowest one) ... 0.008 eV per atom